The following is a DFT calculation (SCAN) of Al3AgF at its PBEsol-relaxed geometry.

Unit cell a=4.776 b=4.776 c=4.776 alpha=90.00 beta=90.00 gamma=90.00
Element x y z (fractional)
Al 0.000 0.000 0.500
Al 0.000 0.500 0.000
Al 0.500 0.000 0.000
Ag 0.000 0.000 0.000
F 0.500 0.500 0.500

Summary:
- volume (Å³ per cell) = 109.0
- N(E_F) (states/eV per atom) = 0.372
- DFT total energy (eV per cell) = -58.1
- symmetry = Pm-3m (221)
- magnetization (μB/f.u.) = 0.00


The following is a DFT calculation (SCAN) of Al3AgF at its PBEsol-relaxed geometry.

Unit cell a=4.401 b=4.401 c=4.401 alpha=90.00 beta=90.00 gamma=90.00
Element x y z (fractional)
Al 0.000 0.000 0.500
Al 0.000 0.500 0.000
Al 0.500 0.000 0.000
Ag 0.500 0.500 0.500
F 0.000 0.000 0.000

Summary:
- volume (Å³ per cell) = 85.2
- N(E_F) (states/eV per atom) = 0.471
- DFT total energy (eV per cell) = -58.5
- symmetry = Pm-3m (221)
- magnetization (μB/f.u.) = 0.00


The following is a DFT calculation (SCAN) of AlInAgF2 at its PBEsol-relaxed geometry.

Unit cell a=3.736 b=3.736 c=6.040 alpha=90.00 beta=90.00 gamma=90.00
Element x y z (fractional)
Al 0.000 0.000 0.000
In 0.000 0.000 0.500
Ag 0.500 0.500 0.500
F 0.000 0.500 0.000
F 0.500 0.000 0.000

Summary:
- volume (Å³ per cell) = 84.3
- N(E_F) (states/eV per atom) = 0.220
- DFT total energy (eV per cell) = -87.1
- symmetry = P4/mmm (123)
- magnetization (μB/f.u.) = 0.54


The following is a DFT calculation (SCAN) of AlAg2MoF at its PBEsol-relaxed geometry.

Unit cell a=5.116 b=5.116 c=3.836 alpha=90.00 beta=90.00 gamma=90.00
Element x y z (fractional)
Al 0.000 0.000 0.000
Ag 0.000 0.500 0.500
Ag 0.500 0.000 0.500
Mo 0.500 0.500 0.500
F 0.500 0.500 0.000

Summary:
- volume (Å³ per cell) = 100.4
- N(E_F) (states/eV per atom) = 0.620
- DFT total energy (eV per cell) = -106.7
- symmetry = P4/mmm (123)
- magnetization (μB/f.u.) = 2.54


The following is a DFT calculation (SCAN) of AlAgNF2 at its PBEsol-relaxed geometry.

Unit cell a=4.329 b=4.329 c=3.932 alpha=90.00 beta=90.00 gamma=90.00
Element x y z (fractional)
Al 0.000 0.000 0.000
Ag 0.500 0.500 0.500
N 0.500 0.500 0.000
F 0.000 0.500 0.500
F 0.500 0.000 0.500

Summary:
- volume (Å³ per cell) = 73.7
- N(E_F) (states/eV per atom) = 0.344
- DFT total energy (eV per cell) = -55.4
- symmetry = P4/mmm (123)
- magnetization (μB/f.u.) = 1.83


The following is a DFT calculation (SCAN) of AlNiAg2F7 at its PBEsol-relaxed geometry.

Unit cell a=7.216 b=7.216 c=7.216 alpha=120.90 beta=92.39 gamma=116.42
Element x y z (fractional)
Al 0.000 0.000 0.000
Al 0.500 0.000 0.500
Ni 0.500 0.000 0.000
Ni 0.500 0.500 0.500
Ag 0.000 0.000 0.500
Ag 0.000 0.500 0.000
Ag 0.000 0.500 0.500
Ag 0.500 0.500 0.000
F 0.123 0.211 0.912
F 0.184 0.256 0.296
F 0.184 0.888 0.928
F 0.201 0.789 0.412
F 0.388 0.638 0.750
F 0.460 0.256 0.572
F 0.460 0.888 0.204
F 0.540 0.112 0.796
F 0.540 0.744 0.428
F 0.612 0.362 0.250
F 0.799 0.211 0.588
F 0.816 0.112 0.072
F 0.816 0.744 0.704
F 0.877 0.789 0.088

Summary:
- volume (Å³ per cell) = 270.3
- N(E_F) (states/eV per atom) = 0.000
- DFT total energy (eV per cell) = -276.6
- symmetry = Imma (74)
- magnetization (μB/f.u.) = 2.06